! GGA+U Li4Mn3OF11, optimized geometry; values from VASP
&SYSTEM
  ibrav = 0, nat = 19, ntyp = 4
/
ATOMIC_SPECIES
Li 6.94 Li.upf
Mn 54.94 Mn.upf
O 16.00 O.upf
F 19.00 F.upf
CELL_PARAMETERS angstrom
6.209 0.000 0.000
-1.380 6.149 0.000
-1.547 -2.082 5.888
ATOMIC_POSITIONS crystal
Li 0.000 0.000 0.000
Li 0.076 0.209 0.611
Li 0.257 0.551 0.073
Li 0.728 0.713 0.465
Mn 0.372 0.853 0.734
Mn 0.471 0.098 0.395
Mn 0.725 0.435 0.885
O 0.475 0.158 0.707
F 0.068 0.881 0.663
F 0.186 0.169 0.337
F 0.266 0.555 0.762
F 0.368 0.737 0.391
F 0.407 0.010 0.076
F 0.597 0.499 0.129
F 0.675 0.834 0.813
F 0.721 0.445 0.578
F 0.756 0.025 0.425
F 0.982 0.698 0.045
F 0.988 0.276 0.918
! - E_tot: -104.7 eV for the cell shown
! - Space-group type: P1, No. 1